[1]
## Y2TeAs (GGA-PBEsol)

Data for a geometry-optimized Y2TeAs structure.

Output
- electronic total energy (eV/cell) = -28.16
- SG = P4/mmm (123)
- ΔE_f (raw) (eV per atom) = -1.4697
- crystal system = tetragonal

Cell and atoms, written as POSCAR:
```
Y2TeAs
1.0
-1.635 -1.104 -3.692
-0.478 -3.922 1.385
-5.394 1.358 1.983
Y As Te
2 1 1
Cartesian
0.000 0.000 0.000
-3.754 -1.834 -0.162
-1.057 -2.513 -1.154
-2.697 0.679 0.992
```

[2]
## Ta11Co2Se8 (GGA-PBEsol)

Data for a geometry-optimized Ta11Co2Se8 structure.

Output
- electronic total energy (eV/cell) = -394.02
- SG = Pnnm (58)
- ΔE_f (raw) (eV per atom) = -0.6035
- crystal system = orthorhombic

Cell and atoms, written as POSCAR:
```
Ta11Co2Se8
1.0
3.386 0.000 0.000
0.000 12.016 0.000
0.000 0.000 19.315
Co Se Ta
4 16 22
Cartesian
0.000 1.120 2.479
0.000 10.897 16.837
1.693 4.889 12.136
1.693 7.128 7.179
0.000 1.304 10.672
0.000 10.713 8.644
1.693 4.704 1.014
1.693 7.312 18.301
0.000 5.510 15.983
0.000 6.506 3.332
1.693 0.498 6.326
1.693 11.519 12.990
0.000 2.486 18.237
0.000 9.530 1.079
1.693 3.522 8.579
1.693 8.494 10.736
0.000 3.393 5.517
0.000 8.624 13.798
1.693 2.616 15.175
1.693 9.401 4.140
0.000 0.000 0.000
1.693 6.008 9.658
0.000 4.176 13.758
0.000 7.841 5.558
1.693 1.833 4.100
1.693 10.184 15.215
0.000 3.920 2.817
0.000 8.096 16.499
1.693 2.088 12.474
1.693 9.929 6.841
0.000 5.258 7.415
0.000 6.758 11.900
1.693 0.750 17.073
1.693 11.266 2.243
0.000 0.655 14.612
0.000 11.362 4.703
1.693 5.353 4.954
1.693 6.663 14.361
0.000 3.844 10.667
0.000 8.172 8.649
1.693 2.164 1.009
1.693 9.852 18.306
```

[3]
## ReTc5 (GGA-PBEsol)

Data for a geometry-optimized ReTc5 structure.

Output
- electronic total energy (eV/cell) = -69.68
- SG = Pm (6)
- crystal system = monoclinic

Cell and atoms, written as POSCAR:
```
ReTc5
1.0
-0.532 0.502 2.625
-3.917 -1.895 -0.431
3.095 -6.503 0.458
Re Tc
1 5
Cartesian
-0.528 0.496 2.622
-0.655 -4.167 2.083
0.681 -1.842 1.901
0.552 -6.497 1.359
1.883 -4.160 1.174
-1.329 -2.340 0.182
```

[4]
## PrCdGa (GGA-PBEsol)

Data for a geometry-optimized PrCdGa structure.

Output
- electronic total energy (eV/cell) = -34.12
- SG = P-62m (189)
- crystal system = hexagonal

Cell and atoms, written as POSCAR:
```
PrCdGa
1.0
4.450 0.000 0.000
0.000 7.345 0.000
0.000 -3.672 6.361
Pr Cd Ga
3 3 3
Cartesian
2.225 4.256 0.000
2.225 1.544 2.675
2.225 -2.128 3.686
0.000 1.811 0.000
0.000 2.767 4.793
0.000 -0.905 1.568
0.000 0.000 4.240
0.000 3.672 2.120
2.225 0.000 0.000
```

[5]
## InMo (GGA-PBEsol)

Data for a geometry-optimized InMo structure.

Output
- electronic total energy (eV/cell) = -10.08
- SG = F-43m (216)
- crystal system = cubic

Cell and atoms, written as POSCAR:
```
InMo
1.0
-3.542 2.194 1.162
-3.811 -2.029 0.266
-1.810 -0.704 3.865
In Mo
1 1
Cartesian
0.000 0.000 0.000
-2.291 -0.135 1.323
```

[6]
## Na3Ag3W2O6F6 (GGA-PBEsol)

Data for a geometry-optimized Na3Ag3W2O6F6 structure.

Output
- electronic total energy (eV/cell) = -124.46
- SG = R-3 (148)
- ΔE_f (raw) (eV per atom) = -1.9824
- crystal system = trigonal

Cell and atoms, written as POSCAR:
```
Na3Ag3W2O6F6
1.0
5.732 0.000 0.000
2.866 4.964 0.000
2.866 1.655 9.374
Na Ag W O F
3 3 2 6 6
Cartesian
2.866 1.655 5.623
8.598 4.964 3.751
5.732 3.309 4.687
0.000 0.000 0.000
5.732 3.309 8.388
5.732 3.309 0.986
2.866 1.655 2.176
8.598 4.964 7.198
3.804 0.338 1.382
3.537 3.125 1.382
1.257 1.501 1.382
7.660 6.281 7.992
7.926 3.493 7.992
10.207 5.118 7.992
3.752 3.770 5.759
6.322 1.365 5.759
7.120 4.793 5.759
7.711 2.849 3.615
5.141 5.254 3.615
4.343 1.825 3.615
```